[1]
{
  "formula": "Sr2Ni2Ge2N",
  "functional": "PBE",
  "state": "relaxed",
  "lattice_angstrom": [[5.748, -2.008, 0.000], [5.748, 2.008, 0.000], [-4.133, 0.000, 5.943]],
  "species": ["Sr", "Sr", "Ni", "Ni", "Ge", "Ge", "N"],
  "fractional_positions": [[0.055, 0.055, 0.308], [0.945, 0.945, 0.692], [0.324, 0.324, 0.255], [0.676, 0.676, 0.745], [0.308, 0.308, 0.902], [0.692, 0.692, 0.098], [0.500, 0.500, 0.500]],
  "formation_energy_uncorrected_mev_per_atom": -517,
  "crystal_system": "monoclinic",
  "volume_a3_per_cell": 137.20,
  "density_g_cm3": 5.47,
  "dos_ef_per_ev_cell": 3.4,
  "magnetic_moment_mub_per_fu": 0.00,
  "total_energy_ev_per_cell": -36.11
}



[2]
{
  "formula": "Sr2NiGeN",
  "functional": "PBE",
  "state": "relaxed",
  "lattice_angstrom": [[5.543, 0.000, 0.000], [0.000, 5.543, 0.000], [0.000, 0.000, 3.532]],
  "species": ["Sr", "Sr", "Ni", "Ge", "N"],
  "fractional_positions": [[0.000, 0.500, 0.000], [0.500, 0.000, 0.000], [0.000, 0.000, 0.500], [0.500, 0.500, 0.500], [0.000, 0.000, 0.000]],
  "formation_energy_uncorrected_mev_per_atom": -463,
  "crystal_system": "tetragonal",
  "volume_a3_per_cell": 108.52,
  "density_g_cm3": 4.91,
  "dos_ef_per_ev_cell": 3.6,
  "magnetic_moment_mub_per_fu": 0.00,
  "total_energy_ev_per_cell": -24.40
}



[3]
{
  "formula": "TbNiGeN",
  "functional": "PBE",
  "state": "relaxed",
  "lattice_angstrom": [[3.667, 0.000, 0.000], [0.000, 3.667, 0.000], [0.000, 0.000, 8.741]],
  "species": ["Tb", "Tb", "Ni", "Ni", "Ge", "Ge", "N", "N"],
  "fractional_positions": [[0.250, 0.250, 0.143], [0.750, 0.750, 0.857], [0.250, 0.750, 0.500], [0.750, 0.250, 0.500], [0.250, 0.250, 0.663], [0.750, 0.750, 0.337], [0.250, 0.250, 0.883], [0.750, 0.750, 0.117]],
  "formation_energy_uncorrected_mev_per_atom": -866,
  "crystal_system": "tetragonal",
  "volume_a3_per_cell": 117.54,
  "density_g_cm3": 8.60,
  "dos_ef_per_ev_cell": 2.4,
  "magnetic_moment_mub_per_fu": 0.00,
  "total_energy_ev_per_cell": -53.64
}



[4]
{
  "formula": "TbNi2GeN",
  "functional": "PBE",
  "state": "relaxed",
  "lattice_angstrom": [[1.722, -5.764, 0.000], [1.722, 5.764, 0.000], [0.000, 0.000, 6.915]],
  "species": ["Tb", "Tb", "Ni", "Ni", "Ni", "Ni", "Ge", "Ge", "N", "N"],
  "fractional_positions": [[0.028, 0.972, 0.750], [0.972, 0.028, 0.250], [0.338, 0.662, 0.547], [0.338, 0.662, 0.953], [0.662, 0.338, 0.047], [0.662, 0.338, 0.453], [0.237, 0.763, 0.250], [0.763, 0.237, 0.750], [0.500, 0.500, 0.000], [0.500, 0.500, 0.500]],
  "formation_energy_uncorrected_mev_per_atom": -769,
  "crystal_system": "orthorhombic",
  "volume_a3_per_cell": 137.29,
  "density_g_cm3": 8.78,
  "dos_ef_per_ev_cell": 4.3,
  "magnetic_moment_mub_per_fu": 0.00,
  "total_energy_ev_per_cell": -65.96
}